Computed, not measured: a relaxed NiBTe2Se crystal at the PBE level of DFT.

Computed properties:
**Energy**: -3.0980 eV/atom
**Symmetry**: P4/mmm (123)
**Magnetization**: 1.16 μB/f.u.
**N(E_F)**: 1.0025 states/eV per atom
**E_form (uncorrected)**: 1347 meV per atom

Geometry as POSCAR:
```
NiBTe2Se
1.0
5.4839 0.0000 0.0000
0.0000 5.4839 0.0000
0.0000 0.0000 4.0426
Ni B Te Se
1 1 2 1
Cartesian
0.0000 0.0000 0.0000
2.7420 2.7420 0.0000
0.0000 2.7420 2.0213
2.7420 0.0000 2.0213
2.7420 2.7420 2.0213
```

Computed, not measured: a relaxed VNiB2Se crystal at the PBE level of DFT.

Computed properties:
**Energy**: -5.1346 eV/atom
**Symmetry**: P4/mmm (123)
**Magnetization**: 1.05 μB/f.u.
**N(E_F)**: 1.0518 states/eV per atom
**E_form (uncorrected)**: 1213 meV per atom

Geometry as POSCAR:
```
VNiB2Se
1.0
4.0064 0.0000 0.0000
0.0000 4.0064 0.0000
0.0000 0.0000 4.6918
V Ni B Se
1 1 2 1
Cartesian
0.0000 0.0000 0.0000
2.0032 2.0032 2.3459
0.0000 2.0032 0.0000
2.0032 0.0000 0.0000
0.0000 0.0000 2.3459
```